1.
Below is an optimized crystal structure of CuAgH, with properties calculated at the PBE level.

The uncorrected energy comes out at -3.262 eV/atom. As for the energy above the lowest structure with this stoichiometry: 0 meV per atom. As for the density of states at the Fermi level: 0.14 states/eV/atom. The calculation puts the density at 8.52 g/cm³.

The space group is P3m1 (No. 156) and the conventional cell measures 2.8221, 2.8221 and 4.8737 Å, with angles of 90.00, 90.00 and 120.00 degrees. The asymmetric unit holds Cu at (0.0000, 0.0000, 0.0000), Ag at (0.3333, 0.6667, 0.5311) and H at (0.6667, 0.3333, 0.1352).

2.
Below is an optimized crystal structure of CuAg2H2, with properties calculated at the PBE level.

The uncorrected energy comes out at -3.047 eV/atom. As for the energy above the lowest structure with this stoichiometry: 0 meV per atom. As for the density of states at the Fermi level: 0.16 states/eV/atom. The calculation puts the density at 7.58 g/cm³.

The space group is P4/mbm (No. 127) and the conventional cell measures 5.6999, 5.6999 and 3.7933 Å, with angles of 90.00, 90.00 and 90.00 degrees. The asymmetric unit holds Cu at (0.0000, 0.0000, 0.0000), Ag at (0.2445, 0.2555, 0.5000) and H at (0.2464, 0.2536, 0.0000).

3.
Below is an optimized crystal structure of Cu2AgH, with properties calculated at the PBE level.

The uncorrected energy comes out at -3.410 eV/atom. As for the energy above the lowest structure with this stoichiometry: 42 meV per atom. As for the density of states at the Fermi level: 0.15 states/eV/atom. The calculation puts the density at 8.28 g/cm³.

The space group is I-42d (No. 122) and the conventional cell measures 5.5343, 5.5343 and 6.1790 Å, with angles of 90.00, 90.00 and 90.00 degrees. The asymmetric unit holds Cu at (0.0996, 0.7500, 0.1250), Ag at (0.0000, 0.0000, 0.5000) and H at (0.0000, 0.0000, 0.0000).

4.
Below is an optimized crystal structure of Cu2AgH, with properties calculated at the PBE level.

The uncorrected energy comes out at -2.875 eV/atom. As for the energy above the lowest structure with this stoichiometry: 577 meV per atom. As for the density of states at the Fermi level: 0.32 states/eV/atom. The calculation puts the density at 7.63 g/cm³.

The space group is Fm-3m (No. 225) and the conventional cell measures 5.9016, 5.9016 and 5.9016 Å, with angles of 90.00, 90.00 and 90.00 degrees. The asymmetric unit holds Cu at (0.2500, 0.2500, 0.2500), Ag at (0.0000, 0.0000, 0.0000) and H at (0.0000, 0.0000, 0.5000).

5.
Below is an optimized crystal structure of CuAgH, with properties calculated at the PBE level.

The uncorrected energy comes out at -2.837 eV/atom. As for the energy above the lowest structure with this stoichiometry: 424 meV per atom. As for the density of states at the Fermi level: 0.27 states/eV/atom. The calculation puts the density at 7.05 g/cm³.

The space group is I4mm (No. 107) and the conventional cell measures 3.6641, 3.6641 and 6.0490 Å, with angles of 90.00, 90.00 and 90.00 degrees. The asymmetric unit holds Cu at (0.0000, 0.0000, 0.0000), Ag at (0.0000, 0.0000, 0.4397) and H at (0.0000, 0.0000, 0.7386).

6.
Below is an optimized crystal structure of CuAg2H, with properties calculated at the PBE level.

The uncorrected energy comes out at -2.982 eV/atom. As for the energy above the lowest structure with this stoichiometry: 0 meV per atom. As for the density of states at the Fermi level: 0.13 states/eV/atom. The calculation puts the density at 8.75 g/cm³.

The space group is I-42d (No. 122) and the conventional cell measures 6.1792, 6.1792 and 5.5745 Å, with angles of 90.00, 90.00 and 90.00 degrees. The asymmetric unit holds Cu at (0.0000, 0.0000, 0.0000), Ag at (0.1587, 0.2500, 0.6250) and H at (0.0000, 0.0000, 0.5000).

7.
Below is an optimized crystal structure of CuAg2H2, with properties calculated at the PBE level.

The uncorrected energy comes out at -2.924 eV/atom. As for the energy above the lowest structure with this stoichiometry: 123 meV per atom. As for the density of states at the Fermi level: 0.20 states/eV/atom. The calculation puts the density at 8.28 g/cm³.

The space group is I4/mmm (No. 139) and the conventional cell measures 3.3578, 3.3578 and 10.0040 Å, with angles of 90.00, 90.00 and 90.00 degrees. The asymmetric unit holds Cu at (0.0000, 0.0000, 0.0000), Ag at (0.0000, 0.0000, 0.3571) and H at (0.0000, 0.5000, 0.2500).

8.
Below is an optimized crystal structure of CuAg3H, with properties calculated at the PBE level.

The uncorrected energy comes out at -2.947 eV/atom. As for the energy above the lowest structure with this stoichiometry: 0 meV per atom. As for the density of states at the Fermi level: 0.28 states/eV/atom. The calculation puts the density at 9.20 g/cm³.

The space group is Pm-3m (No. 221) and the conventional cell measures 4.1222, 4.1222 and 4.1222 Å, with angles of 90.00, 90.00 and 90.00 degrees. The asymmetric unit holds Cu at (0.0000, 0.0000, 0.0000), Ag at (0.0000, 0.5000, 0.5000) and H at (0.5000, 0.5000, 0.5000).

9.
Below is an optimized crystal structure of CuAgH2, with properties calculated at the PBE level.

The uncorrected energy comes out at -3.230 eV/atom. As for the energy above the lowest structure with this stoichiometry: 0 meV per atom. As for the density of states at the Fermi level: 0.00 states/eV/atom. The calculation puts the density at 7.32 g/cm³.

The space group is I-42d (No. 122) and the conventional cell measures 4.3092, 4.3092 and 8.4756 Å, with angles of 90.00, 90.00 and 90.00 degrees. The asymmetric unit holds Cu at (0.0000, 0.0000, 0.0000), Ag at (0.0000, 0.0000, 0.5000) and H at (0.1961, 0.2500, 0.1250).

10.
Below is an optimized crystal structure of CuAgH3, with properties calculated at the PBE level.

The uncorrected energy comes out at -2.986 eV/atom. As for the energy above the lowest structure with this stoichiometry: 0 meV per atom. As for the density of states at the Fermi level: 0.14 states/eV/atom. The calculation puts the density at 6.77 g/cm³.

The space group is Pm-3m (No. 221) and the conventional cell measures 3.4972, 3.4972 and 3.4972 Å, with angles of 90.00, 90.00 and 90.00 degrees. The asymmetric unit holds Cu at (0.0000, 0.0000, 0.0000), Ag at (0.5000, 0.5000, 0.5000) and H at (0.0000, 0.0000, 0.5000).

11.
Below is an optimized crystal structure of Cu2AgH, with properties calculated at the PBE level.

The uncorrected energy comes out at -3.452 eV/atom. As for the energy above the lowest structure with this stoichiometry: 0 meV per atom. As for the density of states at the Fermi level: 0.18 states/eV/atom. The calculation puts the density at 8.79 g/cm³.

The space group is R-3m (No. 166, hexagonal axes) and the conventional cell measures 2.7764, 2.7764 and 20.0353 Å, with angles of 90.00, 90.00 and 120.00 degrees. The asymmetric unit holds Cu at (0.0000, 0.0000, 0.2204), Ag at (0.0000, 0.0000, 0.0000) and H at (0.0000, 0.0000, 0.5000).

12.
Below is an optimized crystal structure of Cu3Ag5H12, with properties calculated at the PBE level.

The uncorrected energy comes out at -2.947 eV/atom. As for the density of states at the Fermi level: 0.24 states/eV/atom. The calculation puts the density at 6.24 g/cm³.

The space group is Ia-3d (No. 230) and the conventional cell measures 11.6458, 11.6458 and 11.6458 Å, with angles of 90.00, 90.00 and 90.00 degrees. The asymmetric unit holds Cu at (0.0000, 0.2500, 0.1250), Ag at (0.0000, 0.0000, 0.0000), Ag at (0.0000, 0.2500, 0.3750) and H at (0.0128, 0.0240, 0.1612).

13.
Below is an optimized crystal structure of Cu5Ag3H12, with properties calculated at the PBE level.

The uncorrected energy comes out at -3.131 eV/atom. As for the density of states at the Fermi level: 0.24 states/eV/atom. The calculation puts the density at 6.06 g/cm³.

The space group is Ia-3d (No. 230) and the conventional cell measures 11.2714, 11.2714 and 11.2714 Å, with angles of 90.00, 90.00 and 90.00 degrees. The asymmetric unit holds Cu at (0.0000, 0.0000, 0.0000), Cu at (0.0000, 0.2500, 0.3750), Ag at (0.0000, 0.2500, 0.1250) and H at (0.0201, 0.0277, 0.6492).

14.
Below is an optimized crystal structure of CuAgH2, with properties calculated at the PBE level.

The uncorrected energy comes out at -2.768 eV/atom. As for the energy above the lowest structure with this stoichiometry: 462 meV per atom. As for the density of states at the Fermi level: 0.10 states/eV/atom. The calculation puts the density at 7.69 g/cm³.

The space group is Fm-3m (No. 225) and the conventional cell measures 5.3120, 5.3120 and 5.3120 Å, with angles of 90.00, 90.00 and 90.00 degrees. The asymmetric unit holds Cu at (0.0000, 0.0000, 0.0000), Ag at (0.0000, 0.0000, 0.5000) and H at (0.2500, 0.2500, 0.2500).

15.
Below is an optimized crystal structure of CuAg3H, with properties calculated at the PBE level.

The uncorrected energy comes out at -2.117 eV/atom. As for the energy above the lowest structure with this stoichiometry: 830 meV per atom. As for the density of states at the Fermi level: 0.41 states/eV/atom. The calculation puts the density at 5.53 g/cm³.

The space group is Pm-3m (No. 221) and the conventional cell measures 4.8858, 4.8858 and 4.8858 Å, with angles of 90.00, 90.00 and 90.00 degrees. The asymmetric unit holds Cu at (0.0000, 0.0000, 0.0000), Ag at (0.0000, 0.0000, 0.5000) and H at (0.5000, 0.5000, 0.5000).

16.
Below is an optimized crystal structure of CuAgH3, with properties calculated at the PBE level.

The uncorrected energy comes out at -2.733 eV/atom. As for the energy above the lowest structure with this stoichiometry: 253 meV per atom. As for the density of states at the Fermi level: 0.16 states/eV/atom. The calculation puts the density at 6.09 g/cm³.

The space group is Pm-3m (No. 221) and the conventional cell measures 3.6222, 3.6222 and 3.6222 Å, with angles of 90.00, 90.00 and 90.00 degrees. The asymmetric unit holds Cu at (0.0000, 0.0000, 0.0000), Ag at (0.5000, 0.5000, 0.5000) and H at (0.0000, 0.5000, 0.5000).

17.
Below is an optimized crystal structure of Cu2AgH2, with properties calculated at the PBE level.

The uncorrected energy comes out at -3.348 eV/atom. As for the energy above the lowest structure with this stoichiometry: 0 meV per atom. As for the density of states at the Fermi level: 0.16 states/eV/atom. The calculation puts the density at 8.01 g/cm³.

The space group is I4/mmm (No. 139) and the conventional cell measures 3.1367, 3.1367 and 9.9887 Å, with angles of 90.00, 90.00 and 90.00 degrees. The asymmetric unit holds Cu at (0.0000, 0.0000, 0.1681), Ag at (0.0000, 0.0000, 0.5000) and H at (0.0000, 0.5000, 0.2500).

18.
Below is an optimized crystal structure of InCuAg2H, with properties calculated at the PBE level.

The uncorrected energy comes out at -2.865 eV/atom. As for the density of states at the Fermi level: 0.39 states/eV/atom. The calculation puts the density at 7.68 g/cm³.

The space group is P4/mmm (No. 123) and the conventional cell measures 5.2159, 5.2159 and 3.1387 Å, with angles of 90.00, 90.00 and 90.00 degrees. The asymmetric unit holds In at (0.0000, 0.0000, 0.0000), Cu at (0.5000, 0.5000, 0.5000), Ag at (0.0000, 0.5000, 0.5000) and H at (0.5000, 0.5000, 0.0000).

19.
Below is an optimized crystal structure of CuAg2HIr, with properties calculated at the PBE level.

The uncorrected energy comes out at -2.830 eV/atom. As for the density of states at the Fermi level: 0.82 states/eV/atom. The calculation puts the density at 6.21 g/cm³.

The space group is P4/mmm (No. 123) and the conventional cell measures 5.2025, 5.2025 and 4.6688 Å, with angles of 90.00, 90.00 and 90.00 degrees. The asymmetric unit holds Cu at (0.0000, 0.0000, 0.0000), Ag at (0.0000, 0.5000, 0.5000), H at (0.5000, 0.5000, 0.0000) and Ir at (0.0000, 0.0000, 0.5000).